(1)
A plane-wave DFT calculation with GGA-PBE was carried out for LiTeI2 after structural relaxation.

For the volume, the calculation gives 33.40 Å³/atom. The calculation puts the uncorrected energy at -2.044 eV per atom. The calculation puts the density of states at the Fermi level at 27.4 states/eV/cell. Its magnetic moment is 2.078 μB per formula unit. The energy relative to the lowest polymorph listed for this composition comes out at 439 meV per atom.

It has space group Fm-3m (No. 225), with a = 8.115 Å, b = 8.115 Å, c = 8.115 Å, α = 90.00°, β = 90.00° and γ = 90.00°. The asymmetric unit holds Li at (0.000, 0.000, 0.000), Te at (0.000, 0.000, 0.500) and I at (0.250, 0.250, 0.250).

(2)
A plane-wave DFT calculation with GGA-PBE was carried out for Sr3ZrNb after structural relaxation.

For the volume, the calculation gives 38.64 Å³/atom. The calculation puts the uncorrected energy at -3.329 eV per atom. The formation energy comes out at 1404 meV/atom. The calculation puts the density of states at the Fermi level at 9.8 states/eV/cell. Its magnetic moment is 0.001 μB per formula unit.

It has space group Pm-3m (No. 221), with a = 5.781 Å, b = 5.781 Å, c = 5.781 Å, α = 90.00°, β = 90.00° and γ = 90.00°. The asymmetric unit holds Sr at (0.000, 0.000, 0.500), Zr at (0.500, 0.500, 0.500) and Nb at (0.000, 0.000, 0.000).